## i
An optimized crystal structure of KAl2Rh, computed with GGA-PBE.

SG = P4mm (99)
Magnetic moment = 0.0 μB per cell

a = 3.322 Å, b = 3.322 Å, c = 8.030 Å
α = 90.00°, β = 90.00°, γ = 90.00°
Fractional positions:
K: 0.000 0.000 0.000
Al: 0.000 0.000 0.437
Al: 0.500 0.500 0.653
Rh: 0.500 0.500 0.338

***

## ii
An optimized crystal structure of KAl2Rh, computed with GGA-PBE.

SG = P2/m (10)
Magnetic moment = 0.0 μB per cell

a = 2.913 Å, b = 3.403 Å, c = 8.386 Å
α = 90.00°, β = 90.26°, γ = 90.00°
Fractional positions:
K: 0.000 0.000 0.000
Al: 0.498 0.500 0.335
Al: 0.502 0.500 0.665
Rh: 0.000 0.000 0.500

***

ii comes first in stability; the runner-up is 101 meV/atom higher.

***

## i
An optimized crystal structure of Y2TaMn, computed with GGA-PBE.

SG = R-3m (166)
Magnetic moment = 3.4 μB per cell

a = 10.263 Å, b = 10.263 Å, c = 10.263 Å
α = 18.21°, β = 18.21°, γ = 18.21°
Fractional positions:
Y: 0.248 0.248 0.248
Y: 0.752 0.752 0.752
Ta: 0.000 0.000 0.000
Mn: 0.500 0.500 0.500

***

## ii
An optimized crystal structure of Y2TaMn, computed with GGA-PBE.

SG = R3m (160)
Magnetic moment = 1.2 μB per cell

a = 9.767 Å, b = 9.767 Å, c = 9.767 Å
α = 19.68°, β = 19.68°, γ = 19.68°
Fractional positions:
Y: 0.000 0.000 0.000
Y: 0.221 0.221 0.221
Ta: 0.463 0.463 0.463
Mn: 0.742 0.742 0.742

***

ii comes first in stability; the runner-up is 132 meV/atom higher.

***

## i
An optimized crystal structure of SiTeI2N, computed with GGA-PBE.

SG = P4/mmm (123)
Magnetic moment = 0.7 μB per cell

a = 6.213 Å, b = 6.213 Å, c = 3.973 Å
α = 90.00°, β = 90.00°, γ = 90.00°
Fractional positions:
Si: 0.000 0.000 0.000
Te: 0.500 0.500 0.500
I: 0.000 0.500 0.500
I: 0.500 0.000 0.500
N: 0.500 0.500 0.000

***

## ii
An optimized crystal structure of SiTeI2N, computed with GGA-PBE.

SG = P4/mmm (123)
Magnetic moment = 0.0 μB per cell

a = 4.852 Å, b = 4.852 Å, c = 5.130 Å
α = 90.00°, β = 90.00°, γ = 90.00°
Fractional positions:
Si: 0.000 0.000 0.000
Te: 0.500 0.500 0.000
I: 0.000 0.500 0.500
I: 0.500 0.000 0.500
N: 0.500 0.500 0.500

***

i comes first in stability; the runner-up is 45 meV/atom higher.

***

## i
An optimized crystal structure of ReMoSe2, computed with GGA-PBE.

SG = I-42d (122)
Magnetic moment = 2.7 μB per cell

a = 6.867 Å, b = 6.867 Å, c = 6.867 Å
α = 131.58°, β = 131.58°, γ = 70.90°
Fractional positions:
Re: 0.000 0.000 0.000
Re: 0.750 0.250 0.500
Mo: 0.250 0.750 0.500
Mo: 0.500 0.500 0.000
Se: 0.114 0.625 0.989
Se: 0.375 0.364 0.489
Se: 0.636 0.125 0.011
Se: 0.875 0.886 0.511

***

## ii
An optimized crystal structure of ReMoSe2, computed with GGA-PBE.

SG = I-4m2 (119)
Magnetic moment = 0.0 μB per cell

a = 4.873 Å, b = 4.873 Å, c = 4.873 Å
α = 130.51°, β = 130.51°, γ = 72.60°
Fractional positions:
Re: 0.000 0.000 0.000
Mo: 0.750 0.250 0.500
Se: 0.250 0.750 0.500
Se: 0.500 0.500 0.000

***

i comes first in stability; the runner-up is 21 meV/atom higher.

***

## i
An optimized crystal structure of YC, computed with GGA-PBE.

SG = P6/mmm (191)
Magnetic moment = 0.6 μB per cell

a = 5.596 Å, b = 5.596 Å, c = 3.775 Å
α = 90.00°, β = 90.00°, γ = 120.00°
Fractional positions:
Y: 0.000 0.000 0.000
Y: 0.333 0.667 0.500
Y: 0.667 0.333 0.500
C: 0.000 0.500 0.000
C: 0.500 0.000 0.000
C: 0.500 0.500 0.000

***

## ii
An optimized crystal structure of YC, computed with GGA-PBE.

SG = P6_3/mmc (194)
Magnetic moment = 0.0 μB per cell

a = 3.676 Å, b = 3.676 Å, c = 5.622 Å
α = 90.00°, β = 90.00°, γ = 120.00°
Fractional positions:
Y: 0.333 0.667 0.250
Y: 0.667 0.333 0.750
C: 0.000 0.000 0.000
C: 0.000 0.000 0.500

***

ii comes first in stability; the runner-up is 390 meV/atom higher.

***

## i
An optimized crystal structure of BC2, computed with GGA-PBE.

SG = Cm (8)
Magnetic moment = 0.0 μB per cell

a = 6.748 Å, b = 6.748 Å, c = 4.663 Å
α = 103.61°, β = 103.61°, γ = 21.63°
Fractional positions:
B: 0.000 0.000 0.000
B: 0.557 0.557 0.246
B: 0.713 0.713 0.023
B: 0.856 0.856 0.855
C: 0.042 0.042 0.700
C: 0.164 0.164 0.799
C: 0.212 0.212 0.525
C: 0.330 0.330 0.645
C: 0.384 0.384 0.385
C: 0.505 0.505 0.519
C: 0.679 0.679 0.336
C: 0.856 0.856 0.191

***

## ii
An optimized crystal structure of BC2, computed with GGA-PBE.

SG = Cm (8)
Magnetic moment = 0.0 μB per cell

a = 6.960 Å, b = 6.960 Å, c = 4.702 Å
α = 107.66°, β = 107.66°, γ = 20.64°
Fractional positions:
B: 0.000 0.000 0.000
B: 0.218 0.218 0.581
B: 0.386 0.386 0.420
B: 0.557 0.557 0.270
C: 0.054 0.054 0.733
C: 0.174 0.174 0.869
C: 0.346 0.346 0.711
C: 0.513 0.513 0.552
C: 0.678 0.678 0.346
C: 0.715 0.715 0.069
C: 0.835 0.835 0.171
C: 0.874 0.874 0.900

***

ii comes first in stability; the runner-up is 13 meV/atom higher.

***

## i
An optimized crystal structure of CaIn2Re, computed with GGA-PBE.

SG = C2/m (12)
Magnetic moment = 0.0 μB per cell

a = 5.090 Å, b = 5.090 Å, c = 5.985 Å
α = 97.65°, β = 97.65°, γ = 34.51°
Fractional positions:
Ca: 0.000 0.000 0.000
In: 0.239 0.239 0.718
In: 0.761 0.761 0.282
Re: 0.500 0.500 0.500

***

## ii
An optimized crystal structure of CaIn2Re, computed with GGA-PBE.

SG = P2/m (10)
Magnetic moment = 0.0 μB per cell

a = 2.995 Å, b = 4.322 Å, c = 6.514 Å
α = 90.00°, β = 90.16°, γ = 90.00°
Fractional positions:
Ca: 0.000 0.000 0.000
In: 0.499 0.500 0.719
In: 0.501 0.500 0.281
Re: 0.000 0.000 0.500

***

ii comes first in stability; the runner-up is 37 meV/atom higher.